Density functional theory data (PBE with a Hubbard U) for a geometry-optimized NaLi2MnPCO7 structure.

Cell: 5.108 6.784 8.915 Å, 100.97 91.20 91.93°
Last column: magnetic moment on the atom in μB.
Positions (direct):
O 0.035 0.760 0.959  0.00
Mn 0.790 0.771 0.641  4.64
O 0.322 0.241 0.895  0.00
Li 0.797 0.906 0.306  0.00
O 0.195 0.896 0.325  0.02
O 0.202 0.803 0.591  0.02
P 0.289 0.741 0.422  0.01
O 0.172 0.533 0.346  0.02
Li 0.203 0.094 0.694  0.00
Li 0.681 0.136 0.895  0.00
Na 0.738 0.458 0.221  0.00
O 0.965 0.240 0.041  0.00
O 0.805 0.104 0.675  0.02
O 0.798 0.197 0.409  0.02
Na 0.262 0.542 0.779  0.00
Li 0.319 0.864 0.105  0.00
O 0.828 0.467 0.654  0.02
O 0.595 0.739 0.424  0.02
P 0.711 0.259 0.578  0.01
O 0.678 0.759 0.105  0.00
Mn 0.210 0.229 0.359  4.64
O 0.363 0.178 0.132  0.01
C 0.211 0.222 0.022  0.00
O 0.405 0.261 0.576  0.02
O 0.637 0.822 0.868  0.01
C 0.789 0.778 0.978  0.00

- distance to the lowest polymorph of the same formula (eV/f.u.) = 0.00
- calculated total energy (Ha/atom) = -0.25022